[1]
LiAgH2Au after structural relaxation. Source: Alexandria, functional PBE.

```
LiAgH2Au
1.0
3.636 0.000 0.000
0.000 5.145 0.000
0.000 0.000 3.636
H Ag Li Au
2 1 1 1
direct
0.500 0.000 0.000
0.000 0.000 0.500
0.500 0.500 0.500
0.000 0.500 0.000
0.000 0.000 0.000
```

Calculated values
Total energy = -13.498 eV per formula unit



[2]
LiAg2HAu after structural relaxation. Source: Alexandria, functional PBE.

```
LiAg2HAu
1.0
4.092 0.000 0.000
0.000 4.092 0.000
0.000 0.000 4.215
Li Ag H Au
1 2 1 1
direct
0.000 0.000 0.500
0.000 0.500 0.000
0.500 0.000 0.000
0.000 0.000 0.000
0.500 0.500 0.500
```

Calculated values
Energy relative to the lowest polymorph listed for this composition = 0 meV/atom
Total energy = -14.779 eV per formula unit



[3]
Li2AgHAu after structural relaxation. Source: Alexandria, functional PBE.

```
Li2AgHAu
1.0
4.213 0.000 0.000
0.000 4.213 0.000
0.000 0.000 3.746
Li Au H Ag
2 1 1 1
direct
0.500 0.000 0.000
0.000 0.500 0.000
0.000 0.000 0.500
0.000 0.000 0.000
0.500 0.500 0.500
```

Calculated values
Energy relative to the lowest polymorph listed for this composition = 15 meV/atom
Total energy = -14.738 eV per formula unit